The following is a PBE-GGA calculation of crystalline Na3As3Au2 at its relaxed geometry, from Alexandria.

abc: 4.420 10.857 14.805
angles: 90.00 90.00 90.00
Space group Cmcm (No. 63)
Unique sites:
Na (0.000, 0.104, 0.250) (multiplicity 4)
Na (0.000, 0.394, 0.119) (multiplicity 8)
As (0.000, 0.105, 0.030) (multiplicity 8)
As (0.000, 0.189, 0.750) (multiplicity 4)
Au (0.000, 0.319, 0.607) (multiplicity 8)

Computed properties:
DFT total energy	-3.396	eV/atom
E_form	-338	meV per atom
size of the total moment	0.0	μB/f.u.